[1]
The following is a PBE calculation of a relaxed structure of CsTl7Hg12, from the Alexandria database.

a = 16.2053 Å, b = 16.2053 Å, c = 8.2008 Å
α = 90.00°, β = 90.00°, γ = 120.00°
Space group R-3m (No. 166, hexagonal axes)
Inequivalent atoms, fractional coordinates:
Cs 0.0000 0.0000 0.0000 [3 per cell]
Tl 0.0000 0.0000 0.5000 [3 per cell]
Tl 0.0984 0.5492 0.3327 [18 per cell]
Hg 0.0000 0.2544 0.0000 [18 per cell]
Hg 0.1065 0.5532 0.9497 [18 per cell]

Computed properties:
energy of formation	-56	kJ/mol of formula units
spin magnetization	0.0000	μB/atom

[2]
The following is a PBE calculation of a relaxed structure of Pm5Sm2DyTm, from the Alexandria database.

a = 8.608 Å, b = 8.608 Å, c = 16.484 Å
α = 90.00°, β = 90.00°, γ = 90.00°
Space group I4/mcm (No. 140)
Inequivalent atoms, fractional coordinates:
Pm 0.000 0.000 0.000 [4 per cell]
Pm 0.215 0.285 0.142 [16 per cell]
Sm 0.121 0.379 0.500 [8 per cell]
Dy 0.000 0.000 0.250 [4 per cell]
Tm 0.000 0.500 0.250 [4 per cell]

Computed properties:
energy of formation	250	kJ/mol of formula units
spin magnetization	0.0000	μB/atom

- Which value of energy of formation does entry 1 give?
  -56 kJ/mol of formula units

- Among the records above, which one has the lowest energy of formation?
  CsTl7Hg12